Entry 1:
VASP calculation (PBE-GGA) on a relaxed Sn3IrN crystal.

```
data_Sn3IrN
_chemical_formula_sum 'Sn3 Ir1 N1'
_symmetry_space_group_name_H-M 'P 1'
_symmetry_Int_Tables_number 1
_cell_length_a 4.576
_cell_length_b 4.576
_cell_length_c 4.576
_cell_angle_alpha 90.00
_cell_angle_beta 90.00
_cell_angle_gamma 90.00
loop_
_symmetry_equiv_pos_as_xyz
'x,y,z'
loop_
_atom_site_label
_atom_site_fract_x
_atom_site_fract_y
_atom_site_fract_z
_atom_site_occupancy
Sn1 0.000 0.000 0.500 1
Sn2 0.000 0.500 0.000 1
Sn3 0.500 0.000 0.000 1
Ir1 0.500 0.500 0.500 1
N1 0.000 0.000 0.000 1
```

Output
uncorrected formation energy = 3.29 eV/f.u.
Fermi-level density of states = 0.93 states/eV per cell
final energy = -0.1904 Ha/atom

=====

Entry 2:
VASP calculation (PBE-GGA) on a relaxed Sr2SnIrN crystal.

```
data_Sr2SnIrN
_chemical_formula_sum 'Sr2 Sn1 Ir1 N1'
_symmetry_space_group_name_H-M 'P 1'
_symmetry_Int_Tables_number 1
_cell_length_a 5.082
_cell_length_b 5.082
_cell_length_c 4.451
_cell_angle_alpha 90.00
_cell_angle_beta 90.00
_cell_angle_gamma 90.00
loop_
_symmetry_equiv_pos_as_xyz
'x,y,z'
loop_
_atom_site_label
_atom_site_fract_x
_atom_site_fract_y
_atom_site_fract_z
_atom_site_occupancy
Sr1 0.000 0.500 0.000 1
Sr2 0.500 0.000 0.000 1
Sn1 0.000 0.000 0.500 1
Ir1 0.500 0.500 0.500 1
N1 0.000 0.000 0.000 1
```

Output
relative energy among the computed polymorphs = 0.486 eV per atom
uncorrected formation energy = -0.22 eV/f.u.
Fermi-level density of states = 1.57 states/eV per cell
final energy = -0.1820 Ha/atom

=====

Entry 3:
VASP calculation (PBE-GGA) on a relaxed Sr5SnIrN2 crystal.

```
data_Sr5SnIrN2
_chemical_formula_sum 'Sr5 Sn1 Ir1 N2'
_symmetry_space_group_name_H-M 'P 1'
_symmetry_Int_Tables_number 1
_cell_length_a 5.331
_cell_length_b 5.331
_cell_length_c 8.995
_cell_angle_alpha 90.00
_cell_angle_beta 90.00
_cell_angle_gamma 90.00
loop_
_symmetry_equiv_pos_as_xyz
'x,y,z'
loop_
_atom_site_label
_atom_site_fract_x
_atom_site_fract_y
_atom_site_fract_z
_atom_site_occupancy
Sr1 0.000 0.000 0.000 1
Sr2 0.000 0.500 0.285 1
Sr3 0.000 0.500 0.715 1
Sr4 0.500 0.000 0.285 1
Sr5 0.500 0.000 0.715 1
Sn1 0.500 0.500 0.000 1
Ir1 0.000 0.000 0.500 1
N1 0.000 0.000 0.284 1
N2 0.000 0.000 0.716 1
```

Output
uncorrected formation energy = -5.19 eV/f.u.
Fermi-level density of states = 4.71 states/eV per cell
final energy = -0.1760 Ha/atom

=====

Entry 4:
VASP calculation (PBE-GGA) on a relaxed Sr2SnIrN crystal.

```
data_Sr2SnIrN
_chemical_formula_sum 'Sr2 Sn1 Ir1 N1'
_symmetry_space_group_name_H-M 'P 1'
_symmetry_Int_Tables_number 1
_cell_length_a 5.674
_cell_length_b 5.674
_cell_length_c 3.781
_cell_angle_alpha 90.00
_cell_angle_beta 90.00
_cell_angle_gamma 90.00
loop_
_symmetry_equiv_pos_as_xyz
'x,y,z'
loop_
_atom_site_label
_atom_site_fract_x
_atom_site_fract_y
_atom_site_fract_z
_atom_site_occupancy
Sr1 0.000 0.500 0.000 1
Sr2 0.500 0.000 0.000 1
Sn1 0.000 0.000 0.500 1
Ir1 0.500 0.500 0.500 1
N1 0.500 0.500 0.000 1
```

Output
relative energy among the computed polymorphs = 0.000 eV per atom
uncorrected formation energy = -2.64 eV/f.u.
Fermi-level density of states = 2.30 states/eV per cell
final energy = -0.1999 Ha/atom